Computed, not measured: a relaxed structure of Tl2FeMoO6 at the PBE+U level of DFT.

```
data_Tl2FeMoO6
_cell_length_a 6.247
_cell_length_b 6.247
_cell_length_c 5.028
_cell_angle_alpha 90.00
_cell_angle_beta 90.00
_cell_angle_gamma 120.00
_symmetry_space_group_name_H-M 'P 1'
_symmetry_Int_Tables_number 1
loop_
_symmetry_equiv_pos_as_xyz
'x,y,z'
loop_
_atom_site_label
_atom_site_fract_x
_atom_site_fract_y
_atom_site_fract_z
Tl1 0.333 0.667 0.156
Tl2 0.667 0.333 0.844
Fe1 0.000 0.000 0.000
Mo1 0.000 0.000 0.500
O1 0.138 0.276 0.752
O2 0.138 0.862 0.752
O3 0.276 0.138 0.248
O4 0.724 0.862 0.752
O5 0.862 0.138 0.248
O6 0.862 0.724 0.248
```

Properties
Calculated volume, Å³/cell: 170
Total energy, eV per cell: -56.9
ρ, g/cm³: 6.42
Space group: P-3m1 (164)